A plane-wave DFT calculation with PBE was carried out for crystalline Sm3Ho4Pt4 at its relaxed geometry.

## Properties
The value obtained for the uncorrected energy is -133.1 eV per cell. Its formation energy is -9.9 eV per formula unit. The magnetic moment comes out at 0.00 Bohr magnetons per cell. As for the density of states at the Fermi level: 11.65 states/eV/f.u. The calculation puts the calculated volume at 277.3 Å³/f.u.

Cell: 4.5542 7.8430 15.5251 Å, 90.00 90.00 90.00°
Space group Immm (No. 71)
Asymmetric unit:
Sm: 0.0000 0.0000 0.0000 [2 per cell]
Sm: 0.0000 0.5000 0.1018 [4 per cell]
Ho: 0.0000 0.2902 0.3290 [8 per cell]
Pt: 0.0000 0.0000 0.2099 [4 per cell]
Pt: 0.0000 0.1851 0.5000 [4 per cell]

---

A plane-wave DFT calculation with PBE was carried out for crystalline Th4TlSbTe2 at its relaxed geometry.

## Properties
The formation energy without anion corrections comes out at -6.0 eV per formula unit. The value obtained for the uncorrected energy is -48.4 eV per cell. The magnetic moment comes out at 0.00 Bohr magnetons per cell. As for the density of states at the Fermi level: 6.73 states/eV/f.u. The calculation puts the calculated volume at 258.4 Å³/f.u.

Cell: 7.6807 4.5534 7.8641 Å, 90.00 110.05 90.00°
Space group P2/m (No. 10)
Asymmetric unit:
Th: 0.2451 0.0000 0.2477 [2 per cell]
Th: 0.2465 0.5000 0.7491 [2 per cell]
Tl: 0.0000 0.5000 0.0000 [1 per cell]
Sb: 0.0000 0.0000 0.5000 [1 per cell]
Te: 0.5000 0.0000 0.0000 [1 per cell]
Te: 0.5000 0.5000 0.5000 [1 per cell]

---

A plane-wave DFT calculation with PBE was carried out for crystalline YHgSe3 at its relaxed geometry.

## Properties
The formation energy without anion corrections comes out at -0.7 eV per formula unit. The value obtained for the uncorrected energy is -17.9 eV per cell. The magnetic moment comes out at 0.00 Bohr magnetons per cell. As for the density of states at the Fermi level: 1.86 states/eV/f.u. The calculation puts the calculated volume at 138.9 Å³/f.u.

Cell: 5.1790 5.1790 5.1790 Å, 90.00 90.00 90.00°
Space group Pm-3m (No. 221)
Asymmetric unit:
Y: 0.0000 0.0000 0.0000 [1 per cell]
Hg: 0.5000 0.5000 0.5000 [1 per cell]
Se: 0.0000 0.5000 0.5000 [3 per cell]

---

A plane-wave DFT calculation with PBE was carried out for crystalline AsPBr2 at its relaxed geometry.

## Properties
The formation energy without anion corrections comes out at 2.1 eV per formula unit. The value obtained for the uncorrected energy is -22.6 eV per cell. The magnetic moment comes out at 0.00 Bohr magnetons per cell. As for the density of states at the Fermi level: 2.07 states/eV/f.u. The calculation puts the calculated volume at 96.4 Å³/f.u.

Cell: 6.4102 7.2122 4.1711 Å, 90.00 90.00 90.00°
Space group Cmmm (No. 65)
Asymmetric unit:
As: 0.0000 0.0000 0.0000 [2 per cell]
P: 0.0000 0.5000 0.0000 [2 per cell]
Br: 0.0000 0.2562 0.5000 [4 per cell]

---

A plane-wave DFT calculation with PBE was carried out for crystalline Sr2HfZrAs at its relaxed geometry.

## Properties
The value obtained for the uncorrected energy is -21.7 eV per cell. Its formation energy is 4.8 eV per formula unit. The magnetic moment comes out at 0.00 Bohr magnetons per cell. As for the density of states at the Fermi level: 4.75 states/eV/f.u. The calculation puts the calculated volume at 177.3 Å³/f.u.

Cell: 5.9152 5.9152 5.0685 Å, 90.00 90.00 90.00°
Space group P4/mmm (No. 123)
Asymmetric unit:
Sr: 0.0000 0.5000 0.0000 [2 per cell]
Hf: 0.0000 0.0000 0.5000 [1 per cell]
Zr: 0.0000 0.0000 0.0000 [1 per cell]
As: 0.5000 0.5000 0.5000 [1 per cell]